# 1
VASP calculation (PBE) on a geometry-optimized SiOs2Au structure.

abc: 4.8439 4.8439 4.9740
angles: 69.07 69.07 33.92
Last column: nearest neighbours and their distance in Å.
Positions (direct):
1 Au 0.2188 0.2188 0.3255  3 Si 2.53-2.58, 2 Au 2.83
2 Os 0.0201 0.0201 0.9736  2 Si 2.48, 3 Os 2.62-2.71
3 Os 0.7885 0.7885 0.7933  2 Si 2.48, 3 Os 2.62-2.71
4 Si 0.4726 0.4726 0.4076  4 Os 2.48, 3 Au 2.53-2.58

Computed properties:
The space-group type is Cm. As for the total moment: 0.000 μB/atom. The calculation puts the energy relative to the lowest polymorph listed for this composition at 0.174 eV per atom. The crystal system is monoclinic. The value obtained for the formation energy (no corrections) is 1.28 eV per formula unit. The energy comes out at -29.88 eV per cell.



# 2
VASP calculation (PBE) on a geometry-optimized Si2OsAu structure.

abc: 4.2696 4.2696 5.0483
angles: 82.22 82.22 42.11
Last column: nearest neighbours and their distance in Å.
Positions (direct):
1 Au 0.7500 0.7500 0.7500  2 Si 2.55
2 Os 0.2500 0.2500 0.2500  6 Si 2.49-2.51
3 Si 0.9835 0.9835 0.0474  3 Os 2.49-2.51, 1 Au 2.55, 2 Si 2.60
4 Si 0.5165 0.5165 0.4526  3 Os 2.49-2.51, 1 Au 2.55, 2 Si 2.60

Computed properties:
The space-group type is C2/m. As for the total moment: 0.000 μB/atom. The calculation puts the energy relative to the lowest polymorph listed for this composition at 0.130 eV per atom. The crystal system is monoclinic. The value obtained for the formation energy (no corrections) is 0.30 eV per formula unit. The energy comes out at -25.06 eV per cell.



# 3
VASP calculation (PBE) on a geometry-optimized SiOsAu2 structure.

abc: 2.9192 4.4578 4.9443
angles: 90.00 90.00 90.00
Last column: nearest neighbours and their distance in Å.
Positions (direct):
1 Au 0.0000 0.0000 0.0000  6 Au 2.66-2.92, 4 Os 2.87
2 Au 0.5000 0.5000 0.0000  6 Au 2.66-2.92, 4 Si 2.87
3 Os 0.5000 0.0000 0.5000  4 Si 2.66, 4 Au 2.87, 2 Os 2.92
4 Si 0.0000 0.5000 0.5000  4 Os 2.66, 4 Au 2.87, 2 Si 2.92

Computed properties:
The space-group type is Pmmm. As for the total moment: 0.000 μB/atom. The calculation puts the energy relative to the lowest polymorph listed for this composition at 0.294 eV per atom. The crystal system is orthorhombic. The value obtained for the formation energy (no corrections) is 1.69 eV per formula unit. The energy comes out at -21.52 eV per cell.